[1]
{"formula": "Li2SiPbBr", "functional": "PBE", "state": "optimized geometry", "lattice_angstrom": [[4.864, 0.000, 0.000], [0.000, 4.864, 0.000], [0.000, 0.000, 5.575]], "species": ["Li", "Li", "Si", "Pb", "Br"], "frac_coords": [[0.000, 0.500, 0.000], [0.500, 0.000, 0.000], [0.000, 0.000, 0.000], [0.500, 0.500, 0.500], [0.000, 0.000, 0.500]], "energy_ev_per_fu": -13.63, "formation_energy_uncorrected_ev_per_fu": 1.006, "sg": "No. 123"}

[2]
{"formula": "LiSnPbBr5", "functional": "PBE", "state": "optimized geometry", "lattice_angstrom": [[4.675, -6.224, 0.000], [4.675, 6.224, 0.000], [-4.516, 0.000, 9.593]], "species": ["Li", "Li", "Sn", "Sn", "Pb", "Pb", "Br", "Br", "Br", "Br", "Br", "Br", "Br", "Br", "Br", "Br"], "frac_coords": [[0.182, 0.818, 0.750], [0.818, 0.182, 0.250], [0.500, 0.500, 0.000], [0.500, 0.500, 0.500], [0.135, 0.865, 0.250], [0.865, 0.135, 0.750], [0.108, 0.208, 0.443], [0.150, 0.547, 0.843], [0.208, 0.108, 0.943], [0.389, 0.611, 0.250], [0.453, 0.850, 0.657], [0.547, 0.150, 0.343], [0.611, 0.389, 0.750], [0.792, 0.892, 0.057], [0.850, 0.453, 0.157], [0.892, 0.792, 0.557]], "energy_ev_per_fu": -25.62, "formation_energy_uncorrected_ev_per_fu": -7.630, "sg": "No. 15"}

[3]
{"formula": "SrLi2PbBr6", "functional": "PBE", "state": "optimized geometry", "lattice_angstrom": [[3.681, 2.125, 6.542], [-3.681, 2.125, 6.542], [0.000, -4.250, 6.542]], "species": ["Sr", "Li", "Li", "Pb", "Br", "Br", "Br", "Br", "Br", "Br"], "frac_coords": [[0.000, 0.000, 0.000], [0.294, 0.294, 0.294], [0.800, 0.800, 0.800], [0.497, 0.497, 0.497], [0.065, 0.441, 0.671], [0.170, 0.941, 0.565], [0.441, 0.671, 0.065], [0.565, 0.170, 0.941], [0.671, 0.065, 0.441], [0.941, 0.565, 0.170]], "energy_ev_per_fu": -34.26, "formation_energy_uncorrected_ev_per_fu": -15.001, "sg": "No. 146"}

[4]
{"formula": "LiTbPbBr6", "functional": "PBE", "state": "optimized geometry", "lattice_angstrom": [[7.145, 0.000, 0.000], [-3.573, 6.188, 0.000], [0.000, 0.000, 13.248]], "species": ["Li", "Li", "Tb", "Tb", "Pb", "Pb", "Br", "Br", "Br", "Br", "Br", "Br", "Br", "Br", "Br", "Br", "Br", "Br"], "frac_coords": [[0.333, 0.667, 0.250], [0.667, 0.333, 0.750], [0.333, 0.667, 0.750], [0.667, 0.333, 0.250], [0.000, 0.000, 0.000], [0.000, 0.000, 0.500], [0.006, 0.358, 0.131], [0.006, 0.648, 0.369], [0.352, 0.358, 0.369], [0.352, 0.994, 0.131], [0.358, 0.006, 0.631], [0.358, 0.352, 0.869], [0.642, 0.648, 0.131], [0.642, 0.994, 0.369], [0.648, 0.006, 0.869], [0.648, 0.642, 0.631], [0.994, 0.352, 0.631], [0.994, 0.642, 0.869]], "energy_ev_per_fu": -33.45, "formation_energy_uncorrected_ev_per_fu": -13.163, "sg": "No. 163"}

[5]
{"formula": "LiTc2PbBr", "functional": "PBE", "state": "optimized geometry", "lattice_angstrom": [[5.229, 0.000, 0.000], [0.000, 5.229, 0.000], [0.000, 0.000, 6.241]], "species": ["Li", "Tc", "Tc", "Pb", "Br"], "frac_coords": [[0.000, 0.000, 0.000], [0.000, 0.500, 0.500], [0.500, 0.000, 0.500], [0.500, 0.500, 0.500], [0.500, 0.500, 0.000]], "energy_ev_per_fu": -20.47, "formation_energy_uncorrected_ev_per_fu": 7.555, "sg": "No. 123"}

[6]
{"formula": "Li2TePbBr", "functional": "PBE", "state": "optimized geometry", "lattice_angstrom": [[5.799, 0.000, 0.000], [0.000, 5.799, 0.000], [0.000, 0.000, 5.603]], "species": ["Li", "Li", "Te", "Pb", "Br"], "frac_coords": [[0.000, 0.500, 0.000], [0.500, 0.000, 0.000], [0.000, 0.000, 0.500], [0.000, 0.000, 0.000], [0.500, 0.500, 0.500]], "energy_ev_per_fu": -12.65, "formation_energy_uncorrected_ev_per_fu": -0.295, "sg": "No. 123"}

no.,D(E_F) (states/eV per atom)
1,0.91
2,0.00
3,0.00
4,0.00
5,1.48
6,0.54